[1]
! Pm5NdTl | Alexandria | PBE | optimized geometry; values from VASP
! * density of states at the Fermi level: 1.413 states/eV per atom
! * calculated total energy: -29.80 eV for the cell shown
! * ΔH_f (0 K): 1.086 eV per formula unit
&SYSTEM
  ibrav = 0, nat = 7, ntyp = 3
/
ATOMIC_SPECIES
Pm 145.00 Pm.upf
Nd 144.24 Nd.upf
Tl 204.38 Tl.upf
CELL_PARAMETERS angstrom
4.802 0.000 0.000
0.000 4.802 0.000
0.000 0.000 10.635
ATOMIC_POSITIONS crystal
Pm 0.000 0.000 0.000
Pm 0.000 0.500 0.240
Pm 0.000 0.500 0.760
Pm 0.500 0.000 0.240
Pm 0.500 0.000 0.760
Nd 0.500 0.500 0.500
Tl 0.500 0.500 0.000

[2]
! Pm6NdTl | Alexandria | PBE | optimized geometry; values from VASP
! * energy above the lowest structure with this stoichiometry: 0.2819 eV/atom
! * density of states at the Fermi level: 1.655 states/eV per atom
! * calculated total energy: -34.02 eV for the cell shown
! * ΔH_f (0 K): 1.613 eV per formula unit
&SYSTEM
  ibrav = 0, nat = 8, ntyp = 3
/
ATOMIC_SPECIES
Pm 145.00 Pm.upf
Nd 144.24 Nd.upf
Tl 204.38 Tl.upf
CELL_PARAMETERS angstrom
3.524 -6.337 0.000
3.524 6.337 0.000
-3.128 0.000 6.108
ATOMIC_POSITIONS crystal
Pm 0.015 0.015 0.256
Pm 0.252 0.703 0.251
Pm 0.297 0.748 0.749
Pm 0.703 0.252 0.251
Pm 0.748 0.297 0.749
Pm 0.985 0.985 0.744
Nd 0.500 0.500 0.000
Tl 0.500 0.500 0.500

[3]
! PmNd15Tl4 | Alexandria | PBE | optimized geometry; values from VASP
! * density of states at the Fermi level: 1.438 states/eV per atom
! * calculated total energy: -88.84 eV for the cell shown
! * ΔH_f (0 K): -3.107 eV per formula unit
&SYSTEM
  ibrav = 0, nat = 20, ntyp = 3
/
ATOMIC_SPECIES
Pm 145.00 Pm.upf
Nd 144.24 Nd.upf
Tl 204.38 Tl.upf
CELL_PARAMETERS angstrom
4.996 0.000 0.000
0.000 4.996 0.000
0.000 0.000 25.621
ATOMIC_POSITIONS crystal
Pm 0.000 0.000 0.000
Nd 0.000 0.500 0.106
Nd 0.000 0.500 0.304
Nd 0.000 0.500 0.500
Nd 0.000 0.500 0.696
Nd 0.000 0.500 0.894
Nd 0.500 0.000 0.106
Nd 0.500 0.000 0.304
Nd 0.500 0.000 0.500
Nd 0.500 0.000 0.696
Nd 0.500 0.000 0.894
Nd 0.500 0.500 0.000
Nd 0.500 0.500 0.206
Nd 0.500 0.500 0.402
Nd 0.500 0.500 0.598
Nd 0.500 0.500 0.794
Tl 0.000 0.000 0.206
Tl 0.000 0.000 0.402
Tl 0.000 0.000 0.598
Tl 0.000 0.000 0.794

[4]
! Pm2Nd8Tl | Alexandria | PBE | optimized geometry; values from VASP
! * energy above the lowest structure with this stoichiometry: 0.0000 eV/atom
! * density of states at the Fermi level: 1.313 states/eV per atom
! * calculated total energy: -50.47 eV for the cell shown
! * ΔH_f (0 K): -0.461 eV per formula unit
&SYSTEM
  ibrav = 0, nat = 11, ntyp = 3
/
ATOMIC_SPECIES
Pm 145.00 Pm.upf
Nd 144.24 Nd.upf
Tl 204.38 Tl.upf
CELL_PARAMETERS angstrom
9.276 -2.549 0.000
9.276 2.549 0.000
-2.167 0.000 7.863
ATOMIC_POSITIONS crystal
Pm 0.224 0.224 0.134
Pm 0.776 0.776 0.866
Nd 0.044 0.044 0.227
Nd 0.137 0.137 0.678
Nd 0.322 0.322 0.592
Nd 0.410 0.410 0.058
Nd 0.590 0.590 0.942
Nd 0.678 0.678 0.408
Nd 0.863 0.863 0.322
Nd 0.956 0.956 0.773
Tl 0.500 0.500 0.500

[5]
! Pm3Nd3Tl2 | Alexandria | PBE | optimized geometry; values from VASP
! * energy above the lowest structure with this stoichiometry: 0.0000 eV/atom
! * density of states at the Fermi level: 1.712 states/eV per atom
! * calculated total energy: -34.91 eV for the cell shown
! * ΔH_f (0 K): -1.623 eV per formula unit
&SYSTEM
  ibrav = 0, nat = 8, ntyp = 3
/
ATOMIC_SPECIES
Pm 145.00 Pm.upf
Nd 144.24 Nd.upf
Tl 204.38 Tl.upf
CELL_PARAMETERS angstrom
4.969 0.000 0.000
0.000 4.978 0.000
0.000 0.000 9.991
ATOMIC_POSITIONS crystal
Pm 0.000 0.000 0.000
Pm 0.000 0.500 0.250
Pm 0.000 0.500 0.750
Nd 0.000 0.000 0.500
Nd 0.500 0.500 0.000
Nd 0.500 0.500 0.500
Tl 0.500 0.000 0.249
Tl 0.500 0.000 0.751

[6]
! PmNd6Tl2 | Alexandria | PBE | optimized geometry; values from VASP
! * energy above the lowest structure with this stoichiometry: 0.0000 eV/atom
! * density of states at the Fermi level: 1.285 states/eV per atom
! * calculated total energy: -39.45 eV for the cell shown
! * ΔH_f (0 K): -1.357 eV per formula unit
&SYSTEM
  ibrav = 0, nat = 9, ntyp = 3
/
ATOMIC_SPECIES
Pm 145.00 Pm.upf
Nd 144.24 Nd.upf
Tl 204.38 Tl.upf
CELL_PARAMETERS angstrom
6.636 -1.931 0.000
6.636 1.931 0.000
-3.834 0.000 11.642
ATOMIC_POSITIONS crystal
Pm 0.000 0.000 0.000
Nd 0.012 0.012 0.343
Nd 0.307 0.307 0.413
Nd 0.313 0.313 0.125
Nd 0.687 0.687 0.875
Nd 0.693 0.693 0.587
Nd 0.988 0.988 0.657
Tl 0.362 0.362 0.794
Tl 0.638 0.638 0.206

[7]
! PmNd6Tl4 | Alexandria | PBE | optimized geometry; values from VASP
! * density of states at the Fermi level: 1.239 states/eV per atom
! * calculated total energy: -43.63 eV for the cell shown
! * ΔH_f (0 K): -0.811 eV per formula unit
&SYSTEM
  ibrav = 0, nat = 11, ntyp = 3
/
ATOMIC_SPECIES
Pm 145.00 Pm.upf
Nd 144.24 Nd.upf
Tl 204.38 Tl.upf
CELL_PARAMETERS angstrom
-4.008 4.008 6.039
4.008 -4.008 6.039
4.008 4.008 -6.039
ATOMIC_POSITIONS crystal
Pm 0.000 0.000 0.000
Nd 0.000 0.500 0.500
Nd 0.096 0.472 0.000
Nd 0.472 0.096 0.000
Nd 0.500 0.000 0.500
Nd 0.528 0.528 0.624
Nd 0.904 0.904 0.376
Tl 0.265 0.265 0.668
Tl 0.403 0.735 0.000
Tl 0.597 0.597 0.332
Tl 0.735 0.403 0.000

[8]
! Pm6NdTl5 | Alexandria | PBE | optimized geometry; values from VASP
! * energy above the lowest structure with this stoichiometry: 0.1261 eV/atom
! * density of states at the Fermi level: 1.179 states/eV per atom
! * calculated total energy: -47.21 eV for the cell shown
! * ΔH_f (0 K): -2.105 eV per formula unit
&SYSTEM
  ibrav = 0, nat = 12, ntyp = 3
/
ATOMIC_SPECIES
Pm 145.00 Pm.upf
Nd 144.24 Nd.upf
Tl 204.38 Tl.upf
CELL_PARAMETERS angstrom
3.150 -5.533 0.000
3.150 5.533 0.000
-2.191 0.000 10.697
ATOMIC_POSITIONS crystal
Pm 0.056 0.413 0.739
Pm 0.225 0.225 0.251
Pm 0.413 0.056 0.739
Pm 0.587 0.944 0.261
Pm 0.775 0.775 0.749
Pm 0.944 0.587 0.261
Nd 0.500 0.500 0.000
Tl 0.000 0.000 0.500
Tl 0.172 0.828 0.000
Tl 0.344 0.656 0.500
Tl 0.656 0.344 0.500
Tl 0.828 0.172 0.000

[9]
! PmNd3Tl4 | Alexandria | PBE | optimized geometry; values from VASP
! * energy above the lowest structure with this stoichiometry: 0.0000 eV/atom
! * density of states at the Fermi level: 0.942 states/eV per atom
! * calculated total energy: -31.66 eV for the cell shown
! * ΔH_f (0 K): -3.142 eV per formula unit
&SYSTEM
  ibrav = 0, nat = 8, ntyp = 3
/
ATOMIC_SPECIES
Pm 145.00 Pm.upf
Nd 144.24 Nd.upf
Tl 204.38 Tl.upf
CELL_PARAMETERS angstrom
3.900 0.000 0.000
0.000 3.900 0.000
0.000 0.000 15.609
ATOMIC_POSITIONS crystal
Pm 0.000 0.000 0.000
Nd 0.000 0.000 0.249
Nd 0.000 0.000 0.500
Nd 0.000 0.000 0.751
Tl 0.500 0.500 0.123
Tl 0.500 0.500 0.374
Tl 0.500 0.500 0.626
Tl 0.500 0.500 0.877

[10]
! Pm5Nd8Tl | Alexandria | PBE | optimized geometry; values from VASP
! * density of states at the Fermi level: 1.525 states/eV per atom
! * calculated total energy: -62.13 eV for the cell shown
! * ΔH_f (0 K): 2.129 eV per formula unit
&SYSTEM
  ibrav = 0, nat = 14, ntyp = 3
/
ATOMIC_SPECIES
Pm 145.00 Pm.upf
Nd 144.24 Nd.upf
Tl 204.38 Tl.upf
CELL_PARAMETERS angstrom
6.866 -4.391 0.000
6.866 4.391 0.000
-5.155 0.000 8.212
ATOMIC_POSITIONS crystal
Pm 0.000 0.000 0.000
Pm 0.223 0.552 0.726
Pm 0.448 0.777 0.274
Pm 0.558 0.289 0.072
Pm 0.711 0.442 0.928
Nd 0.028 0.116 0.706
Nd 0.108 0.535 0.043
Nd 0.423 0.268 0.355
Nd 0.465 0.892 0.957
Nd 0.525 0.065 0.657
Nd 0.732 0.577 0.645
Nd 0.884 0.972 0.294
Nd 0.935 0.475 0.343
Tl 0.270 0.730 0.500

[11]
! Pm3NdTl | Alexandria | PBE | optimized geometry; values from VASP
! * energy above the lowest structure with this stoichiometry: 0.0747 eV/atom
! * density of states at the Fermi level: 1.086 states/eV per atom
! * calculated total energy: -43.36 eV for the cell shown
! * ΔH_f (0 K): -0.294 eV per formula unit
&SYSTEM
  ibrav = 0, nat = 10, ntyp = 3
/
ATOMIC_SPECIES
Pm 145.00 Pm.upf
Nd 144.24 Nd.upf
Tl 204.38 Tl.upf
CELL_PARAMETERS angstrom
5.503 0.000 0.000
0.000 8.786 0.000
0.000 0.000 6.965
ATOMIC_POSITIONS crystal
Pm 0.250 0.062 0.220
Pm 0.250 0.250 0.718
Pm 0.250 0.438 0.220
Pm 0.750 0.562 0.780
Pm 0.750 0.750 0.282
Pm 0.750 0.938 0.780
Nd 0.250 0.750 0.552
Nd 0.750 0.250 0.448
Tl 0.250 0.750 0.995
Tl 0.750 0.250 0.005

[12]
! Pm8NdTl2 | Alexandria | PBE | optimized geometry; values from VASP
! * energy above the lowest structure with this stoichiometry: 0.0551 eV/atom
! * density of states at the Fermi level: 1.419 states/eV per atom
! * calculated total energy: -48.06 eV for the cell shown
! * ΔH_f (0 K): -0.552 eV per formula unit
&SYSTEM
  ibrav = 0, nat = 11, ntyp = 3
/
ATOMIC_SPECIES
Pm 145.00 Pm.upf
Nd 144.24 Nd.upf
Tl 204.38 Tl.upf
CELL_PARAMETERS angstrom
8.722 -3.389 0.000
8.722 3.389 0.000
-1.406 0.000 6.080
ATOMIC_POSITIONS crystal
Pm 0.004 0.004 0.243
Pm 0.065 0.586 0.382
Pm 0.369 0.369 0.919
Pm 0.414 0.935 0.618
Pm 0.586 0.065 0.382
Pm 0.631 0.631 0.081
Pm 0.935 0.414 0.618
Pm 0.996 0.996 0.757
Nd 0.500 0.500 0.500
Tl 0.177 0.177 0.104
Tl 0.823 0.823 0.896

[13]
! Pm3Nd2Tl4 | Alexandria | PBE | optimized geometry; values from VASP
! * energy above the lowest structure with this stoichiometry: 0.0000 eV/atom
! * density of states at the Fermi level: 1.083 states/eV per atom
! * calculated total energy: -36.12 eV for the cell shown
! * ΔH_f (0 K): -2.869 eV per formula unit
&SYSTEM
  ibrav = 0, nat = 9, ntyp = 3
/
ATOMIC_SPECIES
Pm 145.00 Pm.upf
Nd 144.24 Nd.upf
Tl 204.38 Tl.upf
CELL_PARAMETERS angstrom
4.692 -2.716 0.000
4.692 2.716 0.000
-0.046 0.000 10.742
ATOMIC_POSITIONS crystal
Pm 0.000 0.000 0.000
Pm 0.333 0.333 0.577
Pm 0.667 0.667 0.423
Nd 0.333 0.333 0.220
Nd 0.667 0.667 0.780
Tl 0.000 0.000 0.349
Tl 0.000 0.000 0.651
Tl 0.334 0.334 0.899
Tl 0.666 0.666 0.101

[14]
! PmNd12Tl3 | Alexandria | PBE | optimized geometry; values from VASP
! * density of states at the Fermi level: 1.449 states/eV per atom
! * calculated total energy: -71.36 eV for the cell shown
! * ΔH_f (0 K): -2.301 eV per formula unit
&SYSTEM
  ibrav = 0, nat = 16, ntyp = 3
/
ATOMIC_SPECIES
Pm 145.00 Pm.upf
Nd 144.24 Nd.upf
Tl 204.38 Tl.upf
CELL_PARAMETERS angstrom
5.008 0.000 0.000
0.000 5.008 0.000
0.000 0.000 20.532
ATOMIC_POSITIONS crystal
Pm 0.000 0.000 0.000
Nd 0.000 0.500 0.132
Nd 0.000 0.500 0.378
Nd 0.000 0.500 0.622
Nd 0.000 0.500 0.868
Nd 0.500 0.000 0.132
Nd 0.500 0.000 0.378
Nd 0.500 0.000 0.622
Nd 0.500 0.000 0.868
Nd 0.500 0.500 0.000
Nd 0.500 0.500 0.256
Nd 0.500 0.500 0.500
Nd 0.500 0.500 0.744
Tl 0.000 0.000 0.257
Tl 0.000 0.000 0.500
Tl 0.000 0.000 0.743

[15]
! Pm2Nd6Tl | Alexandria | PBE | optimized geometry; values from VASP
! * energy above the lowest structure with this stoichiometry: 0.0000 eV/atom
! * density of states at the Fermi level: 1.510 states/eV per atom
! * calculated total energy: -40.31 eV for the cell shown
! * ΔH_f (0 K): 0.167 eV per formula unit
&SYSTEM
  ibrav = 0, nat = 9, ntyp = 3
/
ATOMIC_SPECIES
Pm 145.00 Pm.upf
Nd 144.24 Nd.upf
Tl 204.38 Tl.upf
CELL_PARAMETERS angstrom
8.653 -4.972 0.000
8.653 4.972 0.000
-0.014 0.000 3.482
ATOMIC_POSITIONS crystal
Pm 0.166 0.166 0.499
Pm 0.834 0.834 0.501
Nd 0.173 0.501 0.005
Nd 0.177 0.823 0.000
Nd 0.499 0.827 0.995
Nd 0.501 0.173 0.005
Nd 0.823 0.177 0.000
Nd 0.827 0.499 0.995
Tl 0.500 0.500 0.500

[16]
! Pm8Nd2Tl | Alexandria | PBE | optimized geometry; values from VASP
! * energy above the lowest structure with this stoichiometry: 0.0635 eV/atom
! * density of states at the Fermi level: 1.467 states/eV per atom
! * calculated total energy: -49.64 eV for the cell shown
! * ΔH_f (0 K): 0.263 eV per formula unit
&SYSTEM
  ibrav = 0, nat = 11, ntyp = 3
/
ATOMIC_SPECIES
Pm 145.00 Pm.upf
Nd 144.24 Nd.upf
Tl 204.38 Tl.upf
CELL_PARAMETERS angstrom
-2.807 3.871 8.782
2.807 -3.871 8.782
2.807 3.871 -8.782
ATOMIC_POSITIONS crystal
Pm 0.136 0.364 0.773
Pm 0.178 0.178 0.000
Pm 0.259 0.000 0.259
Pm 0.409 0.636 0.773
Pm 0.591 0.364 0.227
Pm 0.741 0.000 0.741
Pm 0.822 0.822 0.000
Pm 0.864 0.636 0.227
Nd 0.307 0.807 0.500
Nd 0.693 0.193 0.500
Tl 0.000 0.500 0.500

[17]
! Pm6NdTl5 | Alexandria | PBE | optimized geometry; values from VASP
! * energy above the lowest structure with this stoichiometry: 0.0000 eV/atom
! * density of states at the Fermi level: 1.091 states/eV per atom
! * calculated total energy: -48.72 eV for the cell shown
! * ΔH_f (0 K): -3.618 eV per formula unit
&SYSTEM
  ibrav = 0, nat = 12, ntyp = 3
/
ATOMIC_SPECIES
Pm 145.00 Pm.upf
Nd 144.24 Nd.upf
Tl 204.38 Tl.upf
CELL_PARAMETERS angstrom
-2.559 4.519 7.767
2.559 -4.519 7.767
2.559 4.519 -7.767
ATOMIC_POSITIONS crystal
Pm 0.066 0.329 0.737
Pm 0.228 0.000 0.228
Pm 0.408 0.671 0.737
Pm 0.592 0.329 0.263
Pm 0.772 0.000 0.772
Pm 0.934 0.671 0.263
Nd 0.500 0.500 0.000
Tl 0.000 0.500 0.500
Tl 0.177 0.177 0.000
Tl 0.349 0.849 0.500
Tl 0.651 0.151 0.500
Tl 0.823 0.823 0.000

[18]
! PmNd5Tl6 | Alexandria | PBE | optimized geometry; values from VASP
! * density of states at the Fermi level: 0.844 states/eV per atom
! * calculated total energy: -47.47 eV for the cell shown
! * ΔH_f (0 K): -4.680 eV per formula unit
&SYSTEM
  ibrav = 0, nat = 12, ntyp = 3
/
ATOMIC_SPECIES
Pm 145.00 Pm.upf
Nd 144.24 Nd.upf
Tl 204.38 Tl.upf
CELL_PARAMETERS angstrom
2.769 -8.309 0.000
2.769 8.309 0.000
0.000 0.000 7.748
ATOMIC_POSITIONS crystal
Pm 0.000 0.000 0.000
Nd 0.000 0.000 0.500
Nd 0.333 0.667 0.000
Nd 0.333 0.667 0.500
Nd 0.667 0.333 0.000
Nd 0.667 0.333 0.500
Tl 0.166 0.834 0.249
Tl 0.166 0.834 0.751
Tl 0.500 0.500 0.249
Tl 0.500 0.500 0.751
Tl 0.834 0.166 0.249
Tl 0.834 0.166 0.751

[19]
! Pm3NdTl | Alexandria | PBE | optimized geometry; values from VASP
! * energy above the lowest structure with this stoichiometry: 0.0000 eV/atom
! * density of states at the Fermi level: 1.461 states/eV per atom
! * calculated total energy: -44.11 eV for the cell shown
! * ΔH_f (0 K): -0.667 eV per formula unit
&SYSTEM
  ibrav = 0, nat = 10, ntyp = 3
/
ATOMIC_SPECIES
Pm 145.00 Pm.upf
Nd 144.24 Nd.upf
Tl 204.38 Tl.upf
CELL_PARAMETERS angstrom
2.468 -13.014 0.000
2.468 13.014 0.000
0.000 0.000 4.923
ATOMIC_POSITIONS crystal
Pm 0.051 0.949 0.750
Pm 0.250 0.750 0.750
Pm 0.448 0.552 0.750
Pm 0.552 0.448 0.250
Pm 0.750 0.250 0.250
Pm 0.949 0.051 0.250
Nd 0.150 0.850 0.250
Nd 0.850 0.150 0.750
Tl 0.347 0.653 0.250
Tl 0.653 0.347 0.750

[20]
! Pm6NdTl | Alexandria | PBE | optimized geometry; values from VASP
! * energy above the lowest structure with this stoichiometry: 0.0000 eV/atom
! * density of states at the Fermi level: 1.172 states/eV per atom
! * calculated total energy: -36.28 eV for the cell shown
! * ΔH_f (0 K): -0.642 eV per formula unit
&SYSTEM
  ibrav = 0, nat = 8, ntyp = 3
/
ATOMIC_SPECIES
Pm 145.00 Pm.upf
Nd 144.24 Nd.upf
Tl 204.38 Tl.upf
CELL_PARAMETERS angstrom
5.014 0.000 0.000
0.000 5.014 0.000
0.000 0.000 10.393
ATOMIC_POSITIONS crystal
Pm 0.000 0.000 0.000
Pm 0.000 0.000 0.500
Pm 0.000 0.500 0.242
Pm 0.000 0.500 0.758
Pm 0.500 0.000 0.242
Pm 0.500 0.000 0.758
Nd 0.500 0.500 0.500
Tl 0.500 0.500 0.000